# 1
The following is a PBE-GGA calculation of a geometry-optimized BaSeF5 structure, from Alexandria via LeMat-Bulk.

a b c (Å): 5.073 9.109 7.023
angles (deg): 90.00 90.00 90.00
Fractional positions:
Ba1 0.000 0.000 0.000
Ba2 0.500 0.500 0.500
Se1 0.000 0.500 0.964
Se2 0.500 0.000 0.464
F1 0.000 0.287 0.975
F2 0.000 0.500 0.637
F3 0.000 0.713 0.975
F4 0.236 0.500 0.185
F5 0.264 0.000 0.685
F6 0.500 0.000 0.137
F7 0.500 0.213 0.475
F8 0.500 0.787 0.475
F9 0.736 0.000 0.685
F10 0.764 0.500 0.185

SG: Imm2 (44)
Crystal system: orthorhombic
Magnetization in μB/atom: 0.1429
ΔE_f (raw) in meV/atom: -2358
VASP energy in eV per atom: -4.467

=====

# 2
The following is a PBE-GGA calculation of a geometry-optimized Ba2SeF structure, from Alexandria via LeMat-Bulk.

a b c (Å): 8.483 8.371 8.370
angles (deg): 90.00 111.53 90.00
Fractional positions:
Ba1 0.195 0.200 0.082
Ba2 0.195 0.300 0.582
Ba3 0.294 0.659 0.972
Ba4 0.294 0.841 0.472
Ba5 0.706 0.159 0.528
Ba6 0.706 0.341 0.028
Ba7 0.805 0.700 0.418
Ba8 0.805 0.800 0.918
Se1 0.077 0.545 0.246
Se2 0.077 0.955 0.746
Se3 0.923 0.045 0.254
Se4 0.923 0.455 0.754
F1 0.371 0.147 0.424
F2 0.371 0.353 0.924
F3 0.629 0.647 0.076
F4 0.629 0.853 0.576

Offset from the most stable computed form in meV per atom: 0.0
SG: P2_1/c (14)
Crystal system: monoclinic
Magnetization in μB/atom: 0.2092
ΔE_f (raw) in meV/atom: -2328
VASP energy in eV per atom: -4.628
Fermi-level density of states in states/eV per cell: 6.4